Tm7Tl4Pb (GGA-PBE, relaxed); raw total energy = -3.763 eV per atom
1.0
5.704 0.000 0.000
2.852 8.824 -0.006
2.852 0.361 7.154
Tl Tm Pb
4 7 1
Cartesian
8.556 6.147 6.534 Tl
5.704 2.216 4.544 Tl
2.852 3.038 0.614 Tl
5.704 6.969 2.604 Tl
2.852 6.052 1.270 Tm
8.556 3.133 5.878 Tm
5.704 5.407 5.193 Tm
5.704 3.778 1.955 Tm
2.852 0.000 0.000 Tm
2.852 1.284 3.178 Tm
8.556 7.900 3.970 Tm
0.000 0.000 0.000 Pb